MgCdBi2S after structural relaxation. Source: Alexandria, functional PBE.

Results
VASP energy   -11.71 eV per cell
Raw formation energy   0.539 eV/atom

a b c (Å): 5.805 5.805 4.830
angles (deg): 90.00 90.00 90.00
Space group P4/mmm (No. 123)
Inequivalent atoms, fractional coordinates:
Mg1 0.000 0.000 0.000 (multiplicity 1)
Cd1 0.500 0.500 0.500 (multiplicity 1)
Bi1 0.000 0.500 0.500 (multiplicity 2)
S1 0.500 0.500 0.000 (multiplicity 1)